# 1
{
  "formula": "ScAlMo",
  "functional": "GGA-PBE",
  "state": "optimized geometry",
  "cell": [[6.223, 0.000, 0.000], [0.000, 6.223, 0.000], [0.000, 0.000, 6.223]],
  "species": ["Sc", "Sc", "Sc", "Sc", "Al", "Al", "Al", "Al", "Mo", "Mo", "Mo", "Mo"],
  "frac_coords": [[0.000, 0.000, 0.000], [0.000, 0.500, 0.500], [0.500, 0.000, 0.500], [0.500, 0.500, 0.000], [0.250, 0.250, 0.750], [0.250, 0.750, 0.250], [0.750, 0.250, 0.250], [0.750, 0.750, 0.750], [0.000, 0.000, 0.500], [0.000, 0.500, 0.000], [0.500, 0.000, 0.000], [0.500, 0.500, 0.500]],
  "de_polymorph_mev_per_atom": 0.0
}

=====

# 2
{
  "formula": "Sc2AlMo",
  "functional": "GGA-PBE",
  "state": "optimized geometry",
  "cell": [[6.647, 0.000, 0.000], [0.000, 6.647, 0.000], [0.000, 0.000, 6.647]],
  "species": ["Sc", "Sc", "Sc", "Sc", "Sc", "Sc", "Sc", "Sc", "Al", "Al", "Al", "Al", "Mo", "Mo", "Mo", "Mo"],
  "frac_coords": [[0.000, 0.000, 0.000], [0.000, 0.500, 0.500], [0.250, 0.250, 0.250], [0.250, 0.750, 0.750], [0.500, 0.000, 0.500], [0.500, 0.500, 0.000], [0.750, 0.250, 0.750], [0.750, 0.750, 0.250], [0.000, 0.000, 0.500], [0.000, 0.500, 0.000], [0.500, 0.000, 0.000], [0.500, 0.500, 0.500], [0.250, 0.250, 0.750], [0.250, 0.750, 0.250], [0.750, 0.250, 0.250], [0.750, 0.750, 0.750]],
  "energy_ev_per_atom": -6.83
}

=====

# 3
{
  "formula": "ScAlMo2",
  "functional": "GGA-PBE",
  "state": "optimized geometry",
  "cell": [[6.435, 0.000, 0.000], [0.000, 6.435, 0.000], [0.000, 0.000, 6.435]],
  "species": ["Sc", "Sc", "Sc", "Sc", "Al", "Al", "Al", "Al", "Mo", "Mo", "Mo", "Mo", "Mo", "Mo", "Mo", "Mo"],
  "frac_coords": [[0.000, 0.000, 0.000], [0.000, 0.500, 0.500], [0.500, 0.000, 0.500], [0.500, 0.500, 0.000], [0.250, 0.250, 0.750], [0.250, 0.750, 0.250], [0.750, 0.250, 0.250], [0.750, 0.750, 0.750], [0.000, 0.000, 0.500], [0.000, 0.500, 0.000], [0.250, 0.250, 0.250], [0.250, 0.750, 0.750], [0.500, 0.000, 0.000], [0.500, 0.500, 0.500], [0.750, 0.250, 0.750], [0.750, 0.750, 0.250]],
  "energy_ev_per_atom": -8.13
}

=====

# 4
{
  "formula": "AlSi2Mo",
  "functional": "GGA-PBE",
  "state": "optimized geometry",
  "cell": [[6.146, 0.000, 0.000], [0.000, 6.146, 0.000], [0.000, 0.000, 6.146]],
  "species": ["Al", "Al", "Al", "Al", "Si", "Si", "Si", "Si", "Si", "Si", "Si", "Si", "Mo", "Mo", "Mo", "Mo"],
  "frac_coords": [[0.000, 0.000, 0.000], [0.000, 0.500, 0.500], [0.500, 0.000, 0.500], [0.500, 0.500, 0.000], [0.000, 0.000, 0.500], [0.000, 0.500, 0.000], [0.250, 0.250, 0.750], [0.250, 0.750, 0.250], [0.500, 0.000, 0.000], [0.500, 0.500, 0.500], [0.750, 0.250, 0.250], [0.750, 0.750, 0.750], [0.250, 0.250, 0.250], [0.250, 0.750, 0.750], [0.750, 0.250, 0.750], [0.750, 0.750, 0.250]],
  "energy_ev_per_atom": -5.98
}

=====

# 5
{
  "formula": "Al2Si2Mo",
  "functional": "GGA-PBE",
  "state": "optimized geometry",
  "cell": [[3.536, 0.000, 0.000], [0.000, 3.536, 0.000], [0.000, 0.000, 12.233]],
  "species": ["Al", "Al", "Al", "Al", "Si", "Si", "Si", "Si", "Mo", "Mo"],
  "frac_coords": [[0.000, 0.500, 0.250], [0.000, 0.500, 0.750], [0.500, 0.000, 0.250], [0.500, 0.000, 0.750], [0.000, 0.000, 0.097], [0.000, 0.000, 0.903], [0.500, 0.500, 0.403], [0.500, 0.500, 0.597], [0.000, 0.000, 0.500], [0.500, 0.500, 0.000]],
  "energy_ev_per_atom": -5.52
}

=====

# 6
{
  "formula": "Al2SiMo",
  "functional": "GGA-PBE",
  "state": "optimized geometry",
  "cell": [[6.199, 0.000, 0.000], [0.000, 6.199, 0.000], [0.000, 0.000, 6.199]],
  "species": ["Al", "Al", "Al", "Al", "Al", "Al", "Al", "Al", "Si", "Si", "Si", "Si", "Mo", "Mo", "Mo", "Mo"],
  "frac_coords": [[0.000, 0.000, 0.000], [0.000, 0.500, 0.500], [0.250, 0.250, 0.250], [0.250, 0.750, 0.750], [0.500, 0.000, 0.500], [0.500, 0.500, 0.000], [0.750, 0.250, 0.750], [0.750, 0.750, 0.250], [0.000, 0.000, 0.500], [0.000, 0.500, 0.000], [0.500, 0.000, 0.000], [0.500, 0.500, 0.500], [0.250, 0.250, 0.750], [0.250, 0.750, 0.250], [0.750, 0.250, 0.250], [0.750, 0.750, 0.750]],
  "energy_ev_per_atom": -5.73
}

=====

How do the records compare in total magnetization? In the order shown, they have 0.23; 0.29; 0.00; 0.01; 0.00; 0.00 μB per atom.